First-principles (PBE-GGA) data for Hf2BIr6 after structural relaxation, as listed in the Alexandria database.

Output
The density of states at the Fermi level is 3.6 states/eV/cell. As for the energy of formation from the pure elements: -768.0 meV/atom.

a = 4.098 Å, b = 4.098 Å, c = 7.993 Å
α = 90.00°, β = 90.00°, γ = 90.00°
Positions (direct):
Hf 0.000 0.000 0.737
Hf 0.000 0.000 0.263
B 0.500 0.500 0.000
Ir 0.000 0.500 0.000
Ir 0.000 0.500 0.500
Ir 0.500 0.500 0.739
Ir 0.500 0.500 0.261
Ir 0.500 0.000 0.000
Ir 0.500 0.000 0.500